No. 1
Crystalline InSi2As4 at its relaxed geometry. Source: the Alexandria database, functional PBE.

For the energy, the calculation gives -4.599 eV per atom. The energy relative to the elements, uncorrected comes out at -0.01 eV/f.u.

Lattice parameters (Å, degrees): 5.258 5.258 6.208 90.00 90.00 90.00
Space group P-42m (No. 111)
Inequivalent atoms, fractional coordinates:
In 0.000 0.000 0.000 x1
Si 0.000 0.500 0.500 x2
As 0.291 0.291 0.259 x4

=====

No. 2
Crystalline SmDyHoMg at its relaxed geometry. Source: the Alexandria database, functional PBE.

For the energy relative to the lowest polymorph listed for this composition, the calculation gives 0.0 meV/atom. For the energy, the calculation gives -3.901 eV per atom.

Lattice parameters (Å, degrees): 3.615 3.615 9.151 90.00 90.00 90.00
Space group P4mm (No. 99)
Inequivalent atoms, fractional coordinates:
Sm 0.000 0.000 0.000 x1
Dy 0.500 0.500 0.729 x1
Ho 0.500 0.500 0.269 x1
Mg 0.000 0.000 0.498 x1

=====

No. 3
Crystalline Ho2Sc5In at its relaxed geometry. Source: the Alexandria database, functional PBE.

For the energy, the calculation gives -5.476 eV per atom.

Lattice parameters (Å, degrees): 7.318 7.318 7.619 90.00 90.00 90.00
Space group I4mm (No. 107)
Inequivalent atoms, fractional coordinates:
Ho 0.000 0.500 0.000 x4
Sc 0.000 0.000 0.057 x2
Sc 0.229 0.229 0.759 x8
In 0.000 0.000 0.479 x2

=====

No. 4
Crystalline SmMn2CrN4 at its relaxed geometry. Source: the Alexandria database, functional PBE.

For the energy, the calculation gives -8.735 eV per atom. The energy relative to the elements, uncorrected comes out at -3.89 eV/f.u.

Lattice parameters (Å, degrees): 3.207 11.154 9.969 90.00 90.00 90.00
Space group Cmcm (No. 63)
Inequivalent atoms, fractional coordinates:
Sm 0.000 0.081 0.250 x4
Mn 0.000 0.382 0.042 x8
Cr 0.000 0.184 0.750 x4
N 0.000 0.000 0.000 x4
N 0.000 0.284 0.614 x8
N 0.000 0.412 0.250 x4

=====

Q: Look up the energy of the third one.
A: -5.476 eV per atom